<a>
# NaCa3Bi

A relaxed NaCa3Bi crystal (PBE, Alexandria via LeMat-Bulk).

a b c (Å): 6.138 6.138 6.138
angles (deg): 90.00 90.00 90.00
Element x y z (fractional)
Na 0.500 0.500 0.500
Ca 0.000 0.500 0.000
Ca 0.000 0.000 0.500
Ca 0.500 0.000 0.000
Bi 0.000 0.000 0.000

Results
- calculated volume (Å³ per atom) = 46.25

=====

<b>
# NaCa3Bi

A relaxed NaCa3Bi crystal (PBE, Alexandria via LeMat-Bulk).

a b c (Å): 5.819 5.819 5.819
angles (deg): 90.00 90.00 90.00
Element x y z (fractional)
Na 0.000 0.000 0.000
Ca 0.000 0.500 0.000
Ca 0.000 0.000 0.500
Ca 0.500 0.000 0.000
Bi 0.500 0.500 0.500

Results
- calculated volume (Å³ per atom) = 39.41

=====

Best to worst by energy: <a>, <b>.